1.
PBE CaAcPrIn, optimized geometry; crystal system = cubic; E = -3.442 eV/atom
1.0
0.000 4.100 4.100
4.100 0.000 4.100
4.100 4.100 0.000
Ca Ac Pr In
1 1 1 1
Direct
0.000 0.000 0.000
0.750 0.750 0.750
0.500 0.500 0.500
0.250 0.250 0.250


2.
PBE Ho3Er2Tm6, optimized geometry; crystal system = trigonal; polymorph energy (0 for the lowest one) = 0.00 eV per formula unit; E = -4.491 eV/atom
1.0
1.748 1.009 31.293
-1.748 1.009 31.293
0.000 -2.019 31.293
Ho Er Tm
3 2 6
Direct
0.000 0.000 0.000
0.273 0.273 0.273
0.727 0.727 0.727
0.455 0.455 0.455
0.545 0.545 0.545
0.091 0.091 0.091
0.182 0.182 0.182
0.364 0.364 0.364
0.636 0.636 0.636
0.818 0.818 0.818
0.909 0.909 0.909


3.
PBE CrReRu2, optimized geometry; crystal system = orthorhombic; polymorph energy (0 for the lowest one) = 0.70 eV per formula unit; E = -9.913 eV/atom
1.0
-1.409 2.179 4.514
1.409 -2.179 4.514
1.409 2.179 -4.514
Cr Re Ru
1 1 2
Direct
0.000 0.000 0.000
0.500 0.500 0.000
0.223 0.723 0.500
0.777 0.277 0.500


4.
PBE Ho2TmZn, optimized geometry; crystal system = cubic; polymorph energy (0 for the lowest one) = 0.79 eV per formula unit; E = -3.687 eV/atom
1.0
0.000 3.736 3.736
3.736 0.000 3.736
3.736 3.736 0.000
Ho Tm Zn
2 1 1
Direct
0.250 0.250 0.250
0.750 0.750 0.750
0.000 0.000 0.000
0.500 0.500 0.500


5.
PBE YPuRe, optimized geometry; crystal system = orthorhombic; E = -10.869 eV/atom
1.0
3.011 -6.852 0.000
3.011 6.852 0.000
0.000 0.000 7.252
Y Pu Re
4 4 4
Direct
0.195 0.805 0.900
0.305 0.695 0.400
0.695 0.305 0.600
0.805 0.195 0.100
0.215 0.285 0.750
0.285 0.215 0.250
0.715 0.785 0.750
0.785 0.715 0.250
0.102 0.898 0.537
0.398 0.602 0.037
0.602 0.398 0.963
0.898 0.102 0.463


6.
PBE LiCoAu4, optimized geometry; crystal system = cubic; E = -3.508 eV/atom
1.0
0.000 3.856 3.856
3.856 0.000 3.856
3.856 3.856 0.000
Li Co Au
1 1 4
Direct
0.000 0.000 0.000
0.250 0.250 0.250
0.125 0.625 0.625
0.625 0.125 0.625
0.625 0.625 0.125
0.625 0.625 0.625